PBE-GGA KCuO2F, optimized geometry; calculated total energy = -2.868 eV/atom; E_form (uncorrected) = 50.98 kJ per mole of atoms; total moment = 3.01 μB/f.u.
1.0
4.713 0.000 0.000
0.000 4.713 0.000
0.000 0.000 4.708
K Cu O F
1 1 2 1
direct
0.000 0.000 0.000
0.500 0.500 0.500
0.000 0.500 0.000
0.500 0.000 0.000
0.000 0.000 0.500